Material: CaY2O
Method: DFT, PBE
State: relaxed

Cell: 7.1413 7.1413 9.7568 Å, 90.00 90.00 90.00°
Closest atoms and distances in Å follow each position.
Space group I-42d (No. 122)
Asymmetric unit:
Ca 0.0000 0.0000 0.0000 x4  8 Y 3.79-4.10
Y 0.0648 0.2500 0.6250 x8  2 O 2.21
O 0.0000 0.0000 0.5000 x4  4 Y 2.21

Values from the calculation:
The value obtained for the total energy is -6.28 eV per atom. As for the raw formation energy: -1311 meV per atom. The total magnetic moment comes out at 0.00 μB per formula unit.